[1]
VASP calculation (PBE) on NdEuCdGe after structural relaxation.

```
NdEuCdGe
1.0
7.5584 0.0000 0.0000
0.0000 7.5584 0.0000
0.0000 0.0000 7.5584
Nd Eu Cd Ge
4 4 4 4
direct
0.0000 0.0000 0.0000
0.0000 0.5000 0.5000
0.5000 0.0000 0.5000
0.5000 0.5000 0.0000
0.0000 0.0000 0.5000
0.0000 0.5000 0.0000
0.5000 0.0000 0.0000
0.5000 0.5000 0.5000
0.2500 0.2500 0.2500
0.2500 0.7500 0.7500
0.7500 0.2500 0.7500
0.7500 0.7500 0.2500
0.2500 0.2500 0.7500
0.2500 0.7500 0.2500
0.7500 0.2500 0.2500
0.7500 0.7500 0.7500
```

Computed properties:
energy relative to the elements	-470	meV per atom
Fermi-level density of states	10.90	states/eV/cell



[2]
VASP calculation (PBE) on Sm2Th2Tl3 after structural relaxation.

```
Sm2Th2Tl3
1.0
3.5686 0.0000 0.0000
0.0000 33.0755 0.0000
0.0000 0.0000 3.5294
Sm Th Tl
4 4 6
direct
0.0000 0.0675 0.0000
0.0000 0.9325 0.0000
0.5000 0.4325 0.0000
0.5000 0.5675 0.0000
0.0000 0.2058 0.0000
0.0000 0.7942 0.0000
0.5000 0.2942 0.0000
0.5000 0.7058 0.0000
0.0000 0.3643 0.5000
0.0000 0.5000 0.5000
0.0000 0.6357 0.5000
0.5000 0.0000 0.5000
0.5000 0.1357 0.5000
0.5000 0.8643 0.5000
```

Computed properties:
energy relative to the elements	-149	meV per atom
Fermi-level density of states	16.42	states/eV/cell



- Among the records above, which one has the lowest Fermi-level density of states?
  NdEuCdGe



- Which value of Fermi-level density of states does entry 2 give?
  16.42 states/eV/cell



- Look up the energy relative to the elements of the first one.
  -470 meV per atom



- Which value of Fermi-level density of states does entry 1 give?
  10.90 states/eV/cell